# MgZrPt2

A geometry-optimized MgZrPt2 structure (PBE-GGA, Alexandria).

Cell: 5.177 5.177 4.839 Å, 80.01 80.01 33.78°
Positions (direct):
Zr1 0.488 0.488 0.552
Mg1 0.263 0.263 0.190
Pt1 0.744 0.744 0.709
Pt2 0.005 0.005 0.048

Output
Space-group type: Cm
Formation energy: -0.847 eV/atom
DOS(E_F): 1.966 states/eV per cell
Uncorrected energy: -6.403 eV/atom